VASP calculation (PBE) on a relaxed CeHf2Pt crystal.

## Properties
offset from the most stable computed form	0.1240	eV per atom
formation energy from the elements	-0.33	eV per atom

a b c (Å): 6.8269 6.8269 6.8269
angles (deg): 90.00 90.00 90.00
Space group Fm-3m (No. 225)
Symmetry-distinct sites (fractional):
Ce 0.0000 0.0000 0.0000 x4
Hf 0.2500 0.2500 0.2500 x8
Pt 0.0000 0.0000 0.5000 x4

---

VASP calculation (PBE) on a relaxed Nd3Dy3Er crystal.

## Properties
formation energy from the elements	0.25	eV per atom

a b c (Å): 8.7039 8.7039 21.8416
angles (deg): 90.00 90.00 120.00
Space group R-3 (No. 148, hexagonal axes)
Symmetry-distinct sites (fractional):
Nd 0.0042 0.7635 0.0590 x18
Dy 0.0559 0.6055 0.8805 x18
Er 0.0000 0.0000 0.3483 x6

---

VASP calculation (PBE) on a relaxed Ba3AsI2 crystal.

## Properties
E_form (uncorrected)	-1437	meV/atom
offset from the most stable computed form	0.0000	eV per atom

a b c (Å): 8.4972 14.6778 8.7038
angles (deg): 90.00 108.90 90.00
Space group C2/m (No. 12)
Symmetry-distinct sites (fractional):
Ba 0.2126 0.0000 0.2147 x4
Ba 0.2467 0.1795 0.7805 x8
As 0.0000 0.1678 0.0000 x4
I 0.0000 0.0000 0.5000 x2
I 0.0000 0.3415 0.5000 x4
I 0.0000 0.5000 0.0000 x2

---

VASP calculation (PBE) on a relaxed AlPIr2 crystal.

## Properties
offset from the most stable computed form	0.3419	eV per atom
formation energy from the elements	-0.08	eV per atom

a b c (Å): 2.8516 4.9568 8.2443
angles (deg): 90.00 90.00 90.00
Space group Cmmm (No. 65)
Symmetry-distinct sites (fractional):
Al 0.0000 0.0000 0.0000 x2
P 0.0000 0.0000 0.5000 x2
Ir 0.0000 0.5000 0.2509 x4

---

VASP calculation (PBE) on a relaxed Tm4CoHg2 crystal.

## Properties
offset from the most stable computed form	0.0767	eV per atom
formation energy from the elements	-0.20	eV per atom

a b c (Å): 4.9880 4.9880 15.1089
angles (deg): 90.00 90.00 90.00
Space group I4/mmm (No. 139)
Symmetry-distinct sites (fractional):
Tm 0.0000 0.0000 0.1744 x4
Tm 0.0000 0.5000 0.0000 x4
Co 0.0000 0.0000 0.0000 x2
Hg 0.0000 0.0000 0.3703 x4

---

VASP calculation (PBE) on a relaxed Rb2Tl2Ga crystal.

## Properties
offset from the most stable computed form	0.2099	eV per atom
formation energy from the elements	0.25	eV per atom

a b c (Å): 11.0674 11.0674 3.4348
angles (deg): 90.00 90.00 90.00
Space group P4/mbm (No. 127)
Symmetry-distinct sites (fractional):
Rb 0.1948 0.3052 0.0000 x4
Tl 0.0999 0.5999 0.5000 x4
Ga 0.0000 0.0000 0.0000 x2

---

Short version: density of states at the Fermi level = 1.13, 1.50, 0.43, 0.30, 0.70, 0.58 states/eV/atom, in the order given.
Short version: M_tot = 0.000, 0.000, 0.000, 0.000, 0.000, 0.000 μB/atom, in the order given.